# 1
KBi6Pd6 GGA-PBE relaxed; symmetry = Immm; formation enthalpy at 0 K = -0.258 eV per atom; energy = -4.5299 eV/atom; V = 22.699 Å³/atom
1.0
-2.988 4.784 5.160
2.988 -4.784 5.160
2.988 4.784 -5.160
K Bi Pd
1 6 6
Cartesian
0.000 0.000 0.000
2.988 0.000 1.761
0.000 0.000 3.483
0.000 3.230 0.000
0.000 6.339 0.000
0.000 0.000 6.838
0.000 4.784 3.399
1.494 2.392 -2.580
1.494 -2.392 2.580
2.988 2.378 0.000
-1.494 2.392 2.580
1.494 2.392 2.580
0.000 2.406 5.160

---

# 2
K2BiPd GGA-PBE relaxed; symmetry = R3m; formation enthalpy at 0 K = -0.256 eV per atom; energy = -3.0735 eV/atom; excess energy over the best structure of this formula in the dataset = 18.2 meV/atom; V = 34.535 Å³/atom
1.0
2.464 1.423 6.567
-2.464 1.423 6.567
0.000 -2.845 6.567
K Bi Pd
2 1 1
Cartesian
0.000 0.000 0.000
0.000 0.000 4.104
0.000 0.000 15.192
0.000 0.000 8.588

---

# 3
KBi2Pd3 GGA-PBE relaxed; symmetry = C2/m; formation enthalpy at 0 K = -0.286 eV per atom; energy = -4.3591 eV/atom; V = 25.517 Å³/atom
1.0
8.587 -2.164 0.000
8.587 2.164 0.000
-3.494 0.000 8.241
K Bi Pd
2 4 6
Cartesian
2.414 0.000 0.428
11.265 0.000 7.813
0.910 0.000 5.515
5.322 0.000 6.592
8.356 0.000 1.649
12.769 0.000 2.726
-0.618 0.000 3.260
3.514 0.000 4.475
5.973 0.000 2.967
7.706 0.000 5.275
10.165 0.000 3.766
14.297 0.000 4.981

---

# 4
KBi2Pd2 GGA-PBE relaxed; symmetry = P4/mbm; formation enthalpy at 0 K = -0.259 eV per atom; energy = -4.1075 eV/atom; V = 24.598 Å³/atom
1.0
8.609 0.000 0.000
0.000 8.609 0.000
0.000 0.000 3.319
K Bi Pd
2 4 4
Cartesian
0.000 0.000 0.000
4.304 4.304 0.000
1.307 2.997 1.660
2.997 7.301 1.660
5.612 1.307 1.660
7.301 5.612 1.660
1.121 5.425 0.000
3.184 1.121 0.000
5.425 7.488 0.000
7.488 3.184 0.000

---

# 5
KBi2Pd GGA-PBE relaxed; symmetry = R-3m; formation enthalpy at 0 K = -0.300 eV per atom; energy = -3.8126 eV/atom; excess energy over the best structure of this formula in the dataset = 6.6 meV/atom; V = 32.470 Å³/atom
1.0
2.223 1.283 7.590
-2.223 1.283 7.590
0.000 -2.566 7.590
K Bi Pd
1 2 1
Cartesian
0.000 0.000 0.000
0.000 0.000 4.965
0.000 0.000 17.806
0.000 0.000 11.385

---

# 6
KBi2Pd GGA-PBE relaxed; symmetry = P4/mmm; formation enthalpy at 0 K = -0.192 eV per atom; energy = -3.7053 eV/atom; excess energy over the best structure of this formula in the dataset = 113.8 meV/atom; V = 28.659 Å³/atom
1.0
3.518 0.000 0.000
0.000 3.518 0.000
0.000 0.000 9.262
K Bi Pd
1 2 1
Cartesian
0.000 0.000 0.000
1.759 1.759 2.899
1.759 1.759 6.363
0.000 0.000 4.631

---

# 7
KBi3PdPt GGA-PBE relaxed; symmetry = Cmcm; formation enthalpy at 0 K = -0.148 eV per atom; energy = -4.1436 eV/atom; V = 33.188 Å³/atom
1.0
3.614 -7.626 0.000
3.614 7.626 0.000
0.000 0.000 7.225
K Bi Pd Pt
2 6 2 2
Cartesian
3.614 4.376 5.419
3.614 -4.376 1.806
3.614 3.883 1.806
1.830 0.000 0.000
1.830 0.000 3.613
5.399 0.000 0.000
5.399 0.000 3.613
3.614 -3.883 5.419
3.614 1.250 1.806
3.614 -1.250 5.419
3.614 6.512 1.806
3.614 -6.512 5.419

---

# 8
KBiSbPd2 GGA-PBE relaxed; energy relative to the elements, uncorrected = -0.370 eV/atom; symmetry = P2_1/m; energy = -4.2673 eV/atom; V = 30.493 Å³/atom
1.0
6.510 0.000 0.000
0.000 4.673 0.000
-2.900 0.000 10.024
K Bi Sb Pd
2 2 2 4
Cartesian
-0.403 1.168 2.789
4.013 3.505 7.235
2.148 3.505 0.581
1.462 1.168 9.443
0.650 3.505 5.471
2.961 1.168 4.553
0.711 3.505 8.186
1.200 1.168 6.589
2.411 3.505 3.436
2.899 1.168 1.838

---

- Which formula does entry 2 have?
  K2BiPd

---

- Among the records above, which one has the lowest V?
  KBi6Pd6

---

Please write out number 4 again, unchanged.
KBi2Pd2 GGA-PBE relaxed; symmetry = P4/mbm; formation enthalpy at 0 K = -0.259 eV per atom; energy = -4.1075 eV/atom; V = 24.598 Å³/atom
1.0
8.609 0.000 0.000
0.000 8.609 0.000
0.000 0.000 3.319
K Bi Pd
2 4 4
Cartesian
0.000 0.000 0.000
4.304 4.304 0.000
1.307 2.997 1.660
2.997 7.301 1.660
5.612 1.307 1.660
7.301 5.612 1.660
1.121 5.425 0.000
3.184 1.121 0.000
5.425 7.488 0.000
7.488 3.184 0.000